This record from the Alexandria database describes crystalline NaSnBr3 at its relaxed geometry. The functional is PBE.

abc: 5.3402 5.3402 5.3402
angles: 90.00 90.00 90.00
Element x y z (fractional)
Na (0.0000, 0.0000, 0.0000)
Sn (0.5000, 0.5000, 0.5000)
Br (0.0000, 0.5000, 0.0000)
Br (0.0000, 0.0000, 0.5000)
Br (0.5000, 0.0000, 0.0000)

M_tot (μB/cell): 0.00
Space group: Pm-3m, No. 221
Uncorrected formation energy (meV per atom): -610.2
VASP energy (eV per atom): -2.68